(1)
Dy3NbFe8 (GGA-PBE, optimized geometry); calculated formation energy = -79 meV per atom; total moment = 12.96 μB per formula unit; space group = R3m; total energy = -7.710 eV/atom
1.0
2.5289 1.4600 8.2676
-2.5289 1.4600 8.2676
0.0000 -2.9201 8.2676
Dy Nb Fe
3 1 8
direct
0.0000 0.0000 0.0000 Dy
0.1257 0.1257 0.1257 Dy
0.5018 0.5018 0.5018 Dy
0.6257 0.6257 0.6257 Nb
0.0572 0.5621 0.5621 Fe
0.0649 0.0649 0.5672 Fe
0.0649 0.5672 0.0649 Fe
0.3128 0.3128 0.3128 Fe
0.5621 0.0572 0.5621 Fe
0.5621 0.5621 0.0572 Fe
0.5672 0.0649 0.0649 Fe
0.8131 0.8131 0.8131 Fe



(2)
NpCd2Sb (GGA-PBE, optimized geometry); raw formation energy = -8 kJ/mol of atoms; total moment = 4.27 μB per formula unit; space group = P4/mmm; total energy = -4.806 eV/atom
1.0
4.4058 0.0000 0.0000
0.0000 4.4058 0.0000
0.0000 0.0000 5.1295
Np Cd Sb
1 2 1
direct
0.0000 0.0000 0.0000 Np
0.0000 0.5000 0.5000 Cd
0.5000 0.0000 0.5000 Cd
0.5000 0.5000 0.0000 Sb



(3)
Ba2NaPa (GGA-PBE, optimized geometry); calculated formation energy = 649 meV per atom; total moment = 0.00 μB per formula unit; space group = R-3m; total energy = -3.016 eV/atom
1.0
1.7542 1.0128 13.9872
-1.7542 1.0128 13.9872
0.0000 -2.0256 13.9872
Ba Na Pa
2 1 1
direct
0.0808 0.0808 0.0808 Ba
0.9192 0.9192 0.9192 Ba
0.5000 0.5000 0.5000 Na
0.0000 0.0000 0.0000 Pa



(4)
Li6Se2O (GGA-PBE, optimized geometry); raw formation energy = -132 kJ/mol of atoms; total moment = 0.00 μB per formula unit; relative energy among the computed polymorphs = 0 kJ/mol of formula units; space group = P-3m1; total energy = -3.970 eV/atom
1.0
5.8122 0.0000 0.0000
-2.9061 5.0335 0.0000
0.0000 0.0000 4.2670
Li Se O
6 2 1
direct
0.1685 0.3370 0.2831 Li
0.1685 0.8315 0.2831 Li
0.3370 0.1685 0.7169 Li
0.6630 0.8315 0.2831 Li
0.8315 0.1685 0.7169 Li
0.8315 0.6630 0.7169 Li
0.3333 0.6667 0.7777 Se
0.6667 0.3333 0.2223 Se
0.0000 0.0000 0.5000 O